No. 1
A geometry-optimized Cs2LiTbI6 structure. Source: the Alexandria database, functional PBE-GGA.

Computed properties:
The formation energy without anion corrections comes out at -14.45 eV per formula unit. As for the space group: R-3m. Its size of the total moment is 0.000 μB/atom. The total DFT energy (no corrections) comes out at -3.2004 eV/atom.

Cell lengths 8.548, 8.548, 15.076 Å; angles 73.53, 73.53, 60.00 degrees
Fractional coordinates of all 20 atoms:
Cs  0.878  0.878  0.367
Cs  0.122  0.122  0.633
Cs  0.708  0.708  0.875
Cs  0.292  0.292  0.125
Li  0.000  0.000  0.000
Li  0.500  0.500  0.500
Tb  0.585  0.585  0.246
Tb  0.415  0.415  0.754
I  0.870  0.378  0.373
I  0.378  0.870  0.373
I  0.378  0.378  0.373
I  0.130  0.622  0.627
I  0.622  0.130  0.627
I  0.622  0.622  0.627
I  0.710  0.206  0.877
I  0.206  0.710  0.877
I  0.206  0.206  0.877
I  0.290  0.794  0.123
I  0.794  0.290  0.123
I  0.794  0.794  0.123

No. 2
A geometry-optimized CsLiTb2I8 structure. Source: the Alexandria database, functional PBE-GGA.

Computed properties:
The formation energy without anion corrections comes out at -15.99 eV per formula unit. As for the space group: P-3. Its size of the total moment is 0.000 μB/atom. The total DFT energy (no corrections) comes out at -3.3685 eV/atom.

Cell lengths 7.931, 7.931, 9.610 Å; angles 90.00, 90.00, 120.00 degrees
Fractional coordinates of all 12 atoms:
Cs  0.000  0.000  0.500
Li  0.000  0.000  0.000
Tb  0.667  0.333  0.092
Tb  0.333  0.667  0.908
I  0.935  0.638  0.849
I  0.362  0.297  0.849
I  0.703  0.065  0.849
I  0.065  0.362  0.151
I  0.638  0.703  0.151
I  0.297  0.935  0.151
I  0.667  0.333  0.403
I  0.333  0.667  0.597

No. 3
A geometry-optimized CsLi2TbI6 structure. Source: the Alexandria database, functional PBE-GGA.

Computed properties:
The formation energy without anion corrections comes out at -13.23 eV per formula unit. As for the space group: P1. Its size of the total moment is 0.000 μB/atom. The total DFT energy (no corrections) comes out at -3.1844 eV/atom.

Cell lengths 8.927, 8.176, 10.131 Å; angles 52.86, 55.42, 53.64 degrees
Fractional coordinates of all 10 atoms:
Cs  0.818  0.806  0.562
Li  0.559  0.595  0.480
Li  0.933  0.027  0.961
Tb  0.326  0.309  0.017
I  0.569  0.250  0.173
I  0.332  0.843  0.269
I  0.949  0.584  0.227
I  0.318  0.778  0.732
I  0.725  0.169  0.741
I  0.132  0.301  0.853

No. 4
A geometry-optimized CsLiTe2I structure. Source: the Alexandria database, functional PBE-GGA.

Computed properties:
The formation energy without anion corrections comes out at 1.48 eV per formula unit. As for the space group: P4/mmm. Its size of the total moment is 0.361 μB/atom. The calculation puts the offset from the most stable computed form at 812.5 meV/atom. The total DFT energy (no corrections) comes out at -1.8242 eV/atom.

Cell lengths 6.537, 6.537, 7.141 Å; angles 90.00, 90.00, 90.00 degrees
Fractional coordinates of all 5 atoms:
Cs  0.000  0.000  0.000
I  0.000  0.000  0.500
Te  0.000  0.500  0.000
Te  0.500  0.000  0.000
Li  0.500  0.500  0.500

No. 5
A geometry-optimized CsLiTeI6 structure. Source: the Alexandria database, functional PBE-GGA.

Computed properties:
The formation energy without anion corrections comes out at -6.02 eV per formula unit. As for the space group: P312. Its size of the total moment is 0.000 μB/atom. The total DFT energy (no corrections) comes out at -2.3584 eV/atom.

Cell lengths 7.724, 7.724, 8.778 Å; angles 90.00, 90.00, 60.00 degrees
Fractional coordinates of all 9 atoms:
Cs  0.000  0.000  0.000
Li  0.667  0.667  0.500
Te  0.333  0.333  0.500
I  0.001  0.370  0.304
I  0.370  0.001  0.696
I  0.629  0.370  0.696
I  0.001  0.629  0.696
I  0.370  0.629  0.304
I  0.629  0.001  0.304

No. 6
A geometry-optimized CsLiTe2I structure. Source: the Alexandria database, functional PBE-GGA.

Computed properties:
The formation energy without anion corrections comes out at -2.58 eV per formula unit. As for the space group: P4/mmm. Its size of the total moment is 0.135 μB/atom. The calculation puts the offset from the most stable computed form at 0.0 meV/atom. The total DFT energy (no corrections) comes out at -2.6366 eV/atom.

Cell lengths 5.245, 5.245, 6.992 Å; angles 90.00, 90.00, 90.00 degrees
Fractional coordinates of all 5 atoms:
Cs  0.500  0.500  0.500
I  0.000  0.000  0.500
Te  0.000  0.500  0.000
Te  0.500  0.000  0.000
Li  0.000  0.000  0.000

No. 7
A geometry-optimized CsLi2ThI8 structure. Source: the Alexandria database, functional PBE-GGA.

Computed properties:
The formation energy without anion corrections comes out at -13.09 eV per formula unit. As for the space group: C2/m. Its size of the total moment is 0.015 μB/atom. The total DFT energy (no corrections) comes out at -3.1327 eV/atom.

Cell lengths 8.334, 8.334, 10.945 Å; angles 93.18, 93.18, 57.50 degrees
Fractional coordinates of all 12 atoms:
Cs  0.000  0.000  0.500
Li  0.681  0.681  0.244
Li  0.319  0.319  0.756
Th  0.000  0.000  0.000
I  0.703  0.221  0.795
I  0.797  0.797  0.054
I  0.737  0.737  0.489
I  0.263  0.263  0.511
I  0.203  0.203  0.946
I  0.221  0.703  0.795
I  0.779  0.297  0.205
I  0.297  0.779  0.205

No. 8
A geometry-optimized Cs2LiThI6 structure. Source: the Alexandria database, functional PBE-GGA.

Computed properties:
The formation energy without anion corrections comes out at -12.51 eV per formula unit. As for the space group: Pmmn. Its size of the total moment is 0.104 μB/atom. The total DFT energy (no corrections) comes out at -3.2856 eV/atom.

Cell lengths 8.647, 8.655, 12.243 Å; angles 90.00, 90.00, 90.00 degrees
Fractional coordinates of all 20 atoms:
Cs  0.500  0.750  0.249
Cs  0.000  0.250  0.749
Cs  0.500  0.750  0.751
Cs  0.000  0.250  0.251
Li  0.500  0.249  0.500
Li  0.000  0.751  0.000
Th  0.000  0.750  0.500
Th  0.500  0.250  0.000
I  0.500  0.250  0.255
I  0.500  0.250  0.745
I  0.000  0.750  0.245
I  0.000  0.750  0.755
I  0.256  0.005  0.500
I  0.744  0.005  0.500
I  0.255  0.494  0.500
I  0.745  0.494  0.500
I  0.755  0.506  0.000
I  0.245  0.506  0.000
I  0.244  0.995  0.000
I  0.756  0.995  0.000

No. 9
A geometry-optimized Cs2LiTiI6 structure. Source: the Alexandria database, functional PBE-GGA.

Computed properties:
The formation energy without anion corrections comes out at -11.40 eV per formula unit. As for the space group: Fm-3m. Its size of the total moment is 0.100 μB/atom. The calculation puts the offset from the most stable computed form at 20.2 meV/atom. The total DFT energy (no corrections) comes out at -3.2218 eV/atom.

Cell lengths 8.304, 8.304, 8.303 Å; angles 60.00, 60.00, 90.00 degrees
Fractional coordinates of all 10 atoms:
Cs  0.750  0.250  0.500
Cs  0.250  0.750  0.500
I  0.242  0.242  0.517
I  0.758  0.758  0.483
I  0.242  0.242  0.000
I  0.758  0.758  0.000
I  0.758  0.242  0.000
I  0.242  0.758  0.000
Li  0.500  0.500  0.000
Ti  0.000  0.000  0.000

No. 10
A geometry-optimized Cs2LiTiI6 structure. Source: the Alexandria database, functional PBE-GGA.

Computed properties:
The formation energy without anion corrections comes out at -11.60 eV per formula unit. As for the space group: R-3m. Its size of the total moment is 0.100 μB/atom. The calculation puts the offset from the most stable computed form at 0.0 meV/atom. The total DFT energy (no corrections) comes out at -3.2420 eV/atom.

Cell lengths 8.317, 8.317, 14.615 Å; angles 73.47, 73.47, 60.00 degrees
Fractional coordinates of all 20 atoms:
Cs  0.879  0.879  0.362
Cs  0.121  0.121  0.638
Cs  0.707  0.707  0.879
Cs  0.293  0.293  0.121
Li  0.000  0.000  0.000
Li  0.500  0.500  0.500
Ti  0.584  0.584  0.247
Ti  0.416  0.416  0.753
I  0.864  0.385  0.365
I  0.385  0.864  0.365
I  0.385  0.385  0.365
I  0.136  0.615  0.635
I  0.615  0.136  0.635
I  0.615  0.615  0.635
I  0.698  0.214  0.873
I  0.214  0.698  0.873
I  0.214  0.214  0.873
I  0.302  0.786  0.127
I  0.786  0.302  0.127
I  0.786  0.786  0.127

No. 11
A geometry-optimized Cs2LiTlI5 structure. Source: the Alexandria database, functional PBE-GGA.

Computed properties:
The formation energy without anion corrections comes out at -9.58 eV per formula unit. As for the space group: Cmc2_1. Its size of the total moment is 0.000 μB/atom. The total DFT energy (no corrections) comes out at -2.5907 eV/atom.

Cell lengths 5.043, 11.533, 15.234 Å; angles 90.00, 90.00, 102.63 degrees
Fractional coordinates of all 18 atoms:
Cs  0.877  0.754  0.805
Cs  0.111  0.222  0.692
Cs  0.123  0.246  0.305
Cs  0.889  0.778  0.192
Li  0.575  0.150  0.942
Li  0.425  0.850  0.442
Tl  0.787  0.574  0.520
Tl  0.213  0.426  0.020
I  0.352  0.704  0.001
I  0.695  0.390  0.877
I  0.505  0.009  0.796
I  0.283  0.566  0.660
I  0.931  0.863  0.531
I  0.648  0.296  0.501
I  0.305  0.610  0.377
I  0.495  0.991  0.296
I  0.717  0.434  0.160
I  0.069  0.137  0.031

No. 12
A geometry-optimized Cs2LiTlI4 structure. Source: the Alexandria database, functional PBE-GGA.

Computed properties:
The formation energy without anion corrections comes out at -9.42 eV per formula unit. As for the space group: C2/c. Its size of the total moment is 0.000 μB/atom. The total DFT energy (no corrections) comes out at -2.7004 eV/atom.

Cell lengths 10.207, 10.207, 10.272 Å; angles 120.07, 120.08, 89.31 degrees
Fractional coordinates of all 16 atoms:
Cs  0.500  0.000  0.000
Cs  0.500  0.000  0.500
Cs  0.000  0.000  0.500
Cs  0.500  0.500  0.000
Li  0.500  0.500  0.500
Li  0.000  0.000  0.000
Tl  0.000  0.500  0.000
Tl  0.000  0.500  0.500
I  0.198  0.771  0.985
I  0.729  0.302  0.515
I  0.271  0.698  0.485
I  0.802  0.229  0.015
I  0.760  0.745  0.970
I  0.755  0.740  0.530
I  0.245  0.260  0.470
I  0.240  0.255  0.030

No. 13
A geometry-optimized CsLiTl2I4 structure. Source: the Alexandria database, functional PBE-GGA.

Computed properties:
The formation energy without anion corrections comes out at -8.14 eV per formula unit. As for the space group: Cmcm. Its size of the total moment is 0.000 μB/atom. The total DFT energy (no corrections) comes out at -2.7301 eV/atom.

Cell lengths 4.932, 8.836, 17.445 Å; angles 90.00, 90.00, 106.21 degrees
Fractional coordinates of all 16 atoms:
Cs  0.105  0.210  0.750
Cs  0.895  0.790  0.250
Li  0.833  0.667  0.750
Li  0.167  0.333  0.250
Tl  0.367  0.733  0.550
Tl  0.633  0.267  0.050
Tl  0.633  0.267  0.450
Tl  0.367  0.733  0.950
I  0.267  0.535  0.126
I  0.733  0.465  0.626
I  0.733  0.465  0.874
I  0.267  0.535  0.374
I  0.000  0.000  0.500
I  0.000  0.000  0.000
I  0.421  0.842  0.750
I  0.579  0.158  0.250

No. 14
A geometry-optimized Cs3Li2TmI8 structure. Source: the Alexandria database, functional PBE-GGA.

Computed properties:
The formation energy without anion corrections comes out at -19.18 eV per formula unit. As for the space group: P-3m1. Its size of the total moment is 0.000 μB/atom. The total DFT energy (no corrections) comes out at -3.0315 eV/atom.

Cell lengths 8.479, 8.479, 10.867 Å; angles 90.00, 90.00, 120.00 degrees
Fractional coordinates of all 14 atoms:
Cs  0.333  0.667  0.635
Cs  0.667  0.333  0.365
Cs  0.000  0.000  0.000
Li  0.333  0.667  0.208
Li  0.667  0.333  0.792
Tm  0.000  0.000  0.500
I  0.333  0.667  0.971
I  0.667  0.333  0.029
I  0.163  0.837  0.335
I  0.837  0.163  0.665
I  0.163  0.326  0.335
I  0.837  0.674  0.665
I  0.674  0.837  0.335
I  0.326  0.163  0.665

No. 15
A geometry-optimized CsLiTm2I8 structure. Source: the Alexandria database, functional PBE-GGA.

Computed properties:
The formation energy without anion corrections comes out at -15.26 eV per formula unit. As for the space group: R-3. Its size of the total moment is 0.000 μB/atom. The total DFT energy (no corrections) comes out at -3.2806 eV/atom.

Cell lengths 7.821, 7.821, 11.861 Å; angles 70.75, 70.75, 60.00 degrees
Fractional coordinates of all 12 atoms:
Cs  0.500  0.500  0.500
Li  0.000  0.000  0.000
Tm  0.257  0.257  0.228
Tm  0.743  0.743  0.772
I  0.172  0.172  0.485
I  0.635  0.274  0.164
I  0.828  0.828  0.515
I  0.927  0.635  0.164
I  0.073  0.365  0.836
I  0.274  0.927  0.164
I  0.726  0.073  0.836
I  0.365  0.726  0.836

No. 16
A geometry-optimized Cs3Li2UI9 structure. Source: the Alexandria database, functional PBE-GGA.

Computed properties:
The formation energy without anion corrections comes out at -18.36 eV per formula unit. As for the space group: P-3m1. Its size of the total moment is 0.133 μB/atom. The total DFT energy (no corrections) comes out at -3.3328 eV/atom.

Cell lengths 8.621, 8.621, 10.725 Å; angles 90.00, 90.00, 120.00 degrees
Fractional coordinates of all 15 atoms:
Cs  0.333  0.667  0.701
Cs  0.000  0.000  0.000
Cs  0.667  0.333  0.299
Li  0.333  0.667  0.103
Li  0.667  0.333  0.897
U  0.000  0.000  0.500
I  0.835  0.165  0.662
I  0.835  0.670  0.662
I  0.330  0.165  0.662
I  0.670  0.835  0.338
I  0.165  0.330  0.338
I  0.165  0.835  0.338
I  0.500  0.000  0.000
I  0.000  0.500  0.000
I  0.500  0.500  0.000

No. 17
A geometry-optimized Cs3Li2UI8 structure. Source: the Alexandria database, functional PBE-GGA.

Computed properties:
The formation energy without anion corrections comes out at -16.88 eV per formula unit. As for the space group: P-3m1. Its size of the total moment is 0.214 μB/atom. The total DFT energy (no corrections) comes out at -3.3538 eV/atom.

Cell lengths 8.614, 8.614, 10.913 Å; angles 90.00, 90.00, 120.00 degrees
Fractional coordinates of all 14 atoms:
Cs  0.333  0.667  0.632
Cs  0.667  0.333  0.368
Cs  0.000  0.000  0.000
Li  0.333  0.667  0.202
Li  0.667  0.333  0.798
U  0.000  0.000  0.500
I  0.333  0.667  0.965
I  0.667  0.333  0.035
I  0.167  0.833  0.328
I  0.833  0.167  0.672
I  0.167  0.333  0.328
I  0.833  0.667  0.672
I  0.667  0.833  0.328
I  0.333  0.167  0.672

No. 18
A geometry-optimized Cs2LiVI6 structure. Source: the Alexandria database, functional PBE-GGA.

Computed properties:
The formation energy without anion corrections comes out at -10.35 eV per formula unit. As for the space group: R-3m. Its size of the total moment is 0.200 μB/atom. The calculation puts the offset from the most stable computed form at 0.0 meV/atom. The total DFT energy (no corrections) comes out at -3.2392 eV/atom.

Cell lengths 8.267, 8.267, 14.577 Å; angles 73.53, 73.53, 60.00 degrees
Fractional coordinates of all 20 atoms:
Cs  0.880  0.880  0.361
Cs  0.120  0.120  0.639
Cs  0.707  0.707  0.880
Cs  0.293  0.293  0.120
Li  0.000  0.000  0.000
Li  0.500  0.500  0.500
V  0.584  0.584  0.247
V  0.416  0.416  0.753
I  0.862  0.387  0.364
I  0.387  0.862  0.364
I  0.387  0.387  0.364
I  0.138  0.613  0.636
I  0.613  0.138  0.636
I  0.613  0.613  0.636
I  0.696  0.216  0.872
I  0.216  0.696  0.872
I  0.216  0.216  0.872
I  0.304  0.784  0.128
I  0.784  0.304  0.128
I  0.784  0.784  0.128

No. 19
A geometry-optimized CsLiV2I8 structure. Source: the Alexandria database, functional PBE-GGA.

Computed properties:
The formation energy without anion corrections comes out at -8.47 eV per formula unit. As for the space group: R-3. Its size of the total moment is 0.333 μB/atom. The total DFT energy (no corrections) comes out at -3.4893 eV/atom.

Cell lengths 7.476, 7.476, 11.630 Å; angles 71.25, 71.25, 60.00 degrees
Fractional coordinates of all 12 atoms:
Cs  0.500  0.500  0.500
Li  0.000  0.000  0.000
V  0.253  0.253  0.240
V  0.747  0.747  0.760
I  0.173  0.173  0.480
I  0.612  0.271  0.169
I  0.827  0.827  0.520
I  0.948  0.612  0.169
I  0.052  0.388  0.831
I  0.271  0.948  0.169
I  0.729  0.052  0.831
I  0.388  0.729  0.831